# LiFeP2S, relaxed, DFT PBE
# SG: No. 123
# formation energy from raw total energies: 0.51 eV per formula unit
data_LiFeP2S
_chemical_formula_sum 'Li1 Fe1 P2 S1'
_cell_length_a 4.151
_cell_length_b 4.151
_cell_length_c 5.341
_cell_angle_alpha 90.00
_cell_angle_beta 90.00
_cell_angle_gamma 90.00
_symmetry_space_group_name_H-M 'P 1'
_symmetry_Int_Tables_number 1
_symmetry_space_group_name_Hall 'P 1'
loop_
_atom_site_label
_atom_site_type_symbol
_atom_site_fract_x
_atom_site_fract_y
_atom_site_fract_z
Li1 Li 0.000 0.000 0.000
Fe1 Fe 0.500 0.500 0.500
P1 P 0.000 0.500 0.500
P2 P 0.500 0.000 0.500
S1 S 0.500 0.500 0.000